Computed, not measured: an optimized crystal structure of Y4PtRh2 at the PBE-GGA level of DFT.

a b c (Å): 8.4653 8.4653 8.4653
angles (deg): 33.27 33.27 33.27
Sites, in units of the cell vectors:
Y1 0.1232 0.1232 0.1232
Y2 0.3741 0.3741 0.3741
Y3 0.6259 0.6259 0.6259
Y4 0.8768 0.8768 0.8768
Pt1 0.5000 0.5000 0.5000
Rh1 0.2496 0.2496 0.2496
Rh2 0.7504 0.7504 0.7504

## Properties
Space-group type ... R-3m (166)
Energy relative to the elements ... -0.85 eV per atom
Theoretical density ... 7.73 g/cm³
VASP energy ... -7.51 eV per atom